--- a ---
Here is crystalline Cs2AgHgPd at its relaxed geometry from Alexandria via LeMat-Bulk. Energies are from PBE-GGA. Values from VASP.

Cell and atoms, written as Quantum ESPRESSO input:
```
&SYSTEM
  ibrav = 0, nat = 5, ntyp = 4
/
ATOMIC_SPECIES
Ag 107.87 Ag.upf
Cs 132.91 Cs.upf
Pd 106.42 Pd.upf
Hg 200.59 Hg.upf
CELL_PARAMETERS angstrom
-4.159 -4.683 1.893
5.051 -3.820 1.647
-0.060 2.033 4.898
ATOMIC_POSITIONS angstrom
Ag -0.030 1.016 2.449
Cs -2.080 -2.342 0.946
Cs 2.525 -1.910 0.824
Pd 0.000 0.000 0.000
Hg 0.416 -3.235 4.219
```

Properties
Crystal system: tetragonal
ρ (g cm⁻³): 5.0
Symmetry: No. 123
V (Å³ per cell): 227.1

--- b ---
Here is crystalline Cs2AgHgPd at its relaxed geometry from Alexandria via LeMat-Bulk. Energies are from PBE-GGA. Values from VASP.

Cell and atoms, written as Quantum ESPRESSO input:
```
&SYSTEM
  ibrav = 0, nat = 5, ntyp = 4
/
ATOMIC_SPECIES
Cs 132.91 Cs.upf
Hg 200.59 Hg.upf
Pd 106.42 Pd.upf
Ag 107.87 Ag.upf
CELL_PARAMETERS angstrom
6.617 0.000 0.000
0.000 6.617 0.000
0.000 0.000 5.319
ATOMIC_POSITIONS angstrom
Cs 0.000 3.309 0.000
Cs 3.309 0.000 0.000
Hg 0.000 0.000 2.659
Pd 0.000 0.000 0.000
Ag 3.309 3.309 2.659
```

Properties
Crystal system: tetragonal
ρ (g cm⁻³): 4.9
Symmetry: No. 123
V (Å³ per cell): 232.9

b comes first in stability; the runner-up is 3.6 kJ/mol of atoms higher.